Density functional theory data (PBE-GGA) for a relaxed ZnIF2 crystal.

Cell and atoms, written as CIF:
```
data_ZnIF2
_symmetry_space_group_name_H-M 'P 1'
_symmetry_Int_Tables_number 1
_symmetry_space_group_name_Hall 'P 1'
_cell_length_a 3.178
_cell_length_b 3.178
_cell_length_c 26.839
_cell_angle_alpha 90.00
_cell_angle_beta 90.00
_cell_angle_gamma 120.00
loop_
_atom_site_label
_atom_site_fract_x
_atom_site_fract_y
_atom_site_fract_z
Zn1 0.000 0.000 0.000
Zn2 0.333 0.667 0.667
Zn3 0.667 0.333 0.333
I1 0.000 0.000 0.500
I2 0.333 0.667 0.167
I3 0.667 0.333 0.833
F1 0.000 0.000 0.065
F2 0.000 0.000 0.935
F3 0.333 0.667 0.602
F4 0.333 0.667 0.732
F5 0.667 0.333 0.268
F6 0.667 0.333 0.398
```

Results
ΔE_f (raw) = -965 meV per atom
SG = R-3m (166)

=====

Density functional theory data (PBE-GGA) for a relaxed AcHoPd crystal.

Cell and atoms, written as CIF:
```
data_AcHoPd
_symmetry_space_group_name_H-M 'P 1'
_symmetry_Int_Tables_number 1
_symmetry_space_group_name_Hall 'P 1'
_cell_length_a 8.435
_cell_length_b 8.435
_cell_length_c 4.244
_cell_angle_alpha 90.00
_cell_angle_beta 90.00
_cell_angle_gamma 120.00
loop_
_atom_site_label
_atom_site_fract_x
_atom_site_fract_y
_atom_site_fract_z
Ac1 0.000 0.422 0.000
Ac2 0.422 0.000 0.000
Ac3 0.578 0.578 0.000
Ho1 0.000 0.766 0.500
Ho2 0.234 0.234 0.500
Ho3 0.766 0.000 0.500
Pd1 0.000 0.000 0.000
Pd2 0.333 0.667 0.500
Pd3 0.667 0.333 0.500
```

Results
formation enthalpy at 0 K = -502.9 meV/atom
SG = P-62m (189)

=====

Respective total magnetic moment values: 0.000 0.003 μB per formula unit.
Respective volume values: 19.57 29.06 Å³ per atom.
Respective energy values: -2.6071 -5.1292 eV/atom.